Below is CuRuPt2 after structural relaxation, with properties calculated at the PBE level.

Summary:
DFT total energy: -6.310 eV/atom
ΔE_f: 0.0536 eV/atom
Energy above the lowest structure with this stoichiometry: 102.0 meV/atom

CIF file:
```
data_CuRuPt2
_chemical_formula_sum 'Cu2 Ru2 Pt4'
_space_group_name_H-M_alt 'C 1 2/m 1'
_space_group_IT_number 12
_space_group_name_Hall '-C 2y'
_cell_length_a 9.042
_cell_length_b 2.735
_cell_length_c 4.760
_cell_angle_alpha 90.00
_cell_angle_beta 99.69
_cell_angle_gamma 90.00
loop_
_atom_site_label
_atom_site_fract_x
_atom_site_fract_y
_atom_site_fract_z
Cu1 0.000 0.000 0.000
Ru1 0.000 0.500 0.500
Pt1 0.248 0.000 0.749
```